Material: CeSnRu
Method: DFT, GGA-PBE
State: relaxed

Cell lengths 6.428, 6.369, 7.058 Å; angles 90.00, 90.47, 90.00 degrees
Last column: magnetic moment on the atom in μB.
Fractional positions:
Ce 0.784 0.620 0.399  0.11
Ce 0.216 0.380 0.601  0.11
Ce 0.284 0.880 0.899  0.11
Ce 0.716 0.120 0.101  0.11
Sn 0.817 0.611 0.894  0.00
Sn 0.183 0.389 0.106  0.00
Sn 0.683 0.111 0.606  0.00
Sn 0.317 0.889 0.394  0.00
Ru 0.976 0.139 0.337  -0.02
Ru 0.476 0.361 0.837  -0.02
Ru 0.024 0.861 0.663  -0.02
Ru 0.524 0.639 0.163  -0.02

Properties
The formation energy is -0.57 eV/atom. The density of states at the Fermi level comes out at 0.726 states/eV/atom. Its total energy is -83.70 eV for the cell shown. As for the space-group type: P2_1/c, No. 14. The crystal system is monoclinic.